(1)
This record from Alexandria describes a relaxed structure of Tb2PrY4. The functional is PBE-GGA.

Values from the calculation:
Total magnetic moment: 0.00 μB per cell
Formation enthalpy at 0 K: 0.120 eV per atom

a b c (Å): 6.097 6.652 11.677
angles (deg): 90.00 104.08 90.00
Space group P2_1/m (No. 11)
Asymmetric unit:
Tb  0.101  0.250  0.488 [2 per cell]
Tb  0.339  0.750  0.050 [2 per cell]
Pr  0.457  0.750  0.633 [2 per cell]
Y  0.158  0.008  0.790 [4 per cell]
Y  0.224  0.250  0.081 [2 per cell]
Y  0.359  0.750  0.335 [2 per cell]

***

(2)
This record from Alexandria describes a relaxed structure of TbPrY2. The functional is PBE-GGA.

Values from the calculation:
Total magnetic moment: 0.00 μB per cell
Formation enthalpy at 0 K: 0.114 eV per atom

a b c (Å): 8.125 8.125 8.125
angles (deg): 90.00 90.00 90.00
Space group Fm-3m (No. 225)
Asymmetric unit:
Tb  0.000  0.000  0.000 [4 per cell]
Pr  0.000  0.000  0.500 [4 per cell]
Y  0.250  0.250  0.250 [8 per cell]

***

(3)
This record from Alexandria describes a relaxed structure of TbPr2Y3. The functional is PBE-GGA.

Values from the calculation:
Total magnetic moment: 0.00 μB per cell
Formation enthalpy at 0 K: 0.143 eV per atom

a b c (Å): 7.049 16.577 3.514
angles (deg): 90.00 90.00 90.00
Space group Pnnm (No. 58)
Asymmetric unit:
Tb  0.000  0.000  0.000 [2 per cell]
Pr  0.249  0.345  0.000 [4 per cell]
Y  0.000  0.500  0.500 [2 per cell]
Y  0.249  0.158  0.500 [4 per cell]

***

(4)
This record from Alexandria describes a relaxed structure of TbPr5Y8. The functional is PBE-GGA.

Values from the calculation:
Total magnetic moment: 0.00 μB per cell
Formation enthalpy at 0 K: 0.231 eV per atom

a b c (Å): 9.708 9.708 10.216
angles (deg): 90.00 90.00 90.00
Space group I-4 (No. 82)
Asymmetric unit:
Tb  0.000  0.000  0.000 [2 per cell]
Pr  0.000  0.500  0.750 [2 per cell]
Pr  0.110  0.715  0.328 [8 per cell]
Y  0.072  0.825  0.654 [8 per cell]
Y  0.084  0.677  0.997 [8 per cell]

***

(5)
This record from Alexandria describes a relaxed structure of Tb7Pr2Y4. The functional is PBE-GGA.

Values from the calculation:
Total magnetic moment: 0.00 μB per cell
Formation enthalpy at 0 K: 0.175 eV per atom

a b c (Å): 6.1313 6.1313 13.3201
angles (deg): 90.00 90.00 120.00
Space group P-31m (No. 162)
Asymmetric unit:
Tb  0.0000  0.0000  0.0000 [1 per cell]
Tb  0.0000  0.3592  0.2185 [6 per cell]
Pr  0.3333  0.6667  0.0000 [2 per cell]
Y  0.0000  0.0000  0.3943 [2 per cell]
Y  0.3333  0.6667  0.5000 [2 per cell]

***

(6)
This record from Alexandria describes a relaxed structure of Tb3Pr5Y. The functional is PBE-GGA.

Values from the calculation:
Total magnetic moment: 0.00 μB per cell
Formation enthalpy at 0 K: 0.271 eV per atom

a b c (Å): 20.460 6.349 11.820
angles (deg): 90.00 123.09 90.00
Space group C2/c (No. 15)
Asymmetric unit:
Tb  0.000  0.000  0.000 [4 per cell]
Tb  0.176  0.223  0.026 [8 per cell]
Pr  0.000  0.411  0.250 [4 per cell]
Pr  0.139  0.327  0.658 [8 per cell]
Pr  0.180  0.179  0.331 [8 per cell]
Y  0.000  0.101  0.750 [4 per cell]

***

(7)
This record from Alexandria describes a relaxed structure of Tb2PrY4. The functional is PBE-GGA.

Values from the calculation:
Total magnetic moment: 0.00 μB per cell
Formation enthalpy at 0 K: 0.027 eV per atom

a b c (Å): 16.787 3.566 8.821
angles (deg): 90.00 119.45 90.00
Space group C2/m (No. 12)
Asymmetric unit:
Tb  0.070  0.000  0.430 [4 per cell]
Pr  0.000  0.000  0.000 [2 per cell]
Y  0.142  0.500  0.835 [4 per cell]
Y  0.206  0.500  0.294 [4 per cell]

***

(8)
This record from Alexandria describes a relaxed structure of Tb4Pr4Y3. The functional is PBE-GGA.

Values from the calculation:
Total magnetic moment: 0.00 μB per cell
Formation enthalpy at 0 K: 0.054 eV per atom

a b c (Å): 3.575 5.731 18.298
angles (deg): 99.01 95.60 90.01
Space group P-1 (No. 2)
Asymmetric unit:
Tb  0.045  0.046  0.091 [2 per cell]
Tb  0.180  0.681  0.361 [2 per cell]
Pr  0.090  0.591  0.181 [2 per cell]
Pr  0.232  0.232  0.463 [2 per cell]
Y  0.365  0.864  0.729 [2 per cell]
Y  0.500  0.500  0.000 [1 per cell]

***

(9)
This record from Alexandria describes a relaxed structure of Tb4PrY8. The functional is PBE-GGA.

Values from the calculation:
Total magnetic moment: 0.00 μB per cell
Formation enthalpy at 0 K: 0.198 eV per atom

a b c (Å): 7.3476 7.3476 27.2867
angles (deg): 90.00 90.00 120.00
Space group R-3m (No. 166, hexagonal axes)
Asymmetric unit:
Tb  0.0000  0.0000  0.0000 [3 per cell]
Tb  0.0000  0.5000  0.0000 [9 per cell]
Pr  0.0000  0.0000  0.5000 [3 per cell]
Y  0.0000  0.0000  0.2181 [6 per cell]
Y  0.0363  0.5182  0.7683 [18 per cell]

***

(10)
This record from Alexandria describes a relaxed structure of TbPr2Y. The functional is PBE-GGA.

Values from the calculation:
Total magnetic moment: 0.00 μB per cell
Formation enthalpy at 0 K: 0.026 eV per atom

a b c (Å): 5.871 7.408 6.360
angles (deg): 90.00 90.00 90.00
Space group Pmmn (No. 59, origin choice 2)
Asymmetric unit:
Tb  0.250  0.250  0.167 [2 per cell]
Pr  0.250  0.000  0.669 [4 per cell]
Y  0.250  0.750  0.164 [2 per cell]

***

(11)
This record from Alexandria describes a relaxed structure of TbPr8Y3. The functional is PBE-GGA.

Values from the calculation:
Total magnetic moment: 0.00 μB per cell
Formation enthalpy at 0 K: 0.325 eV per atom

a b c (Å): 6.709 11.329 11.835
angles (deg): 90.00 90.00 90.00
Space group I222 (No. 23)
Asymmetric unit:
Tb  0.000  0.000  0.000 [2 per cell]
Pr  0.000  0.161  0.250 [8 per cell]
Pr  0.247  0.253  0.519 [8 per cell]
Y  0.000  0.000  0.500 [2 per cell]
Y  0.000  0.500  0.252 [4 per cell]

***

(12)
This record from Alexandria describes a relaxed structure of Tb5Pr4Y2. The functional is PBE-GGA.

Values from the calculation:
Total magnetic moment: 0.00 μB per cell
Formation enthalpy at 0 K: 0.099 eV per atom

a b c (Å): 19.387 5.723 6.690
angles (deg): 90.00 91.12 90.00
Space group C2/m (No. 12)
Asymmetric unit:
Tb  0.000  0.000  0.000 [2 per cell]
Tb  0.130  0.500  0.893 [4 per cell]
Tb  0.209  0.500  0.403 [4 per cell]
Pr  0.019  0.500  0.287 [4 per cell]
Pr  0.194  0.000  0.070 [4 per cell]
Y  0.097  0.000  0.553 [4 per cell]

***

Number 1: volume 32.8 Å³/atom. Number 2: volume 33.5 Å³/atom. Number 3: volume 34.2 Å³/atom. Number 4: volume 34.4 Å³/atom. Number 5: volume 33.4 Å³/atom. Number 6: volume 35.7 Å³/atom. Number 7: volume 32.8 Å³/atom. Number 8: volume 33.5 Å³/atom. Number 9: volume 32.7 Å³/atom. Number 10: volume 34.6 Å³/atom. Number 11: volume 37.5 Å³/atom. Number 12: volume 33.7 Å³/atom.